Material: TiHgPbI6
Method: DFT, PBE-GGA
State: relaxed

POSCAR file:
```
TiHgPbI6
1.0
7.7796 0.0000 0.0000
-3.8898 6.7374 0.0000
0.0000 0.0000 8.6960
Ti Hg Pb I
1 1 1 6
Cartesian
0.0000 0.0000 0.0000 Ti
0.0000 4.4916 4.3480 Hg
3.8898 2.2458 0.0000 Pb
2.2401 0.0314 1.6430 I
1.1472 1.9243 7.0530 I
5.5396 0.0314 7.0530 I
2.7970 4.7817 1.6430 I
6.6324 1.9243 1.6430 I
4.9827 4.7817 7.0530 I
```

As for the energy relative to the elements, uncorrected: -0.578 eV/atom. The calculation puts the total energy at -2.93 eV per atom.